A plane-wave DFT calculation with GGA-PBE was carried out for a geometry-optimized Pr2HoTh3Se6 structure.

Total magnetic moment   0.00 Bohr magnetons per cell
Theoretical density   8.54 g/cm3
E_form (uncorrected)   -1.65 eV per atom

a b c (Å): 4.172 8.459 9.473
angles (deg): 104.99 102.72 90.00
Positions (direct):
Se 0.998 0.238 0.995
Se 0.339 0.921 0.678
Se 0.667 0.585 0.334
Se 0.002 0.762 0.005
Se 0.661 0.079 0.322
Se 0.333 0.415 0.666
Ho 0.500 0.000 0.000
Pr 0.166 0.333 0.332
Pr 0.834 0.667 0.668
Th 0.170 0.836 0.340
Th 0.830 0.164 0.660
Th 0.500 0.500 0.000